Record 1
Here is crystalline TbBi2Pd at its relaxed geometry from the Alexandria database. Energies are from GGA-PBE.

POSCAR file:
```
TbBi2Pd
1.0
4.879 0.000 0.000
0.000 4.879 0.000
0.000 0.000 4.207
Tb Bi Pd
1 2 1
direct
0.000 0.000 0.000
0.000 0.500 0.500
0.500 0.000 0.500
0.500 0.500 0.000
```

Summary:
Total DFT energy (no corrections) in eV per atom: -4.894
Symmetry: P4/mmm (123)

---

Record 2
Here is crystalline Be2Co at its relaxed geometry from the Alexandria database. Energies are from GGA-PBE.

POSCAR file:
```
Be2Co
1.0
2.396 0.000 0.000
-1.198 2.075 0.000
0.000 0.000 5.475
Be Co
2 1
direct
0.333 0.667 0.325
0.667 0.333 0.675
0.000 0.000 0.000
```

Summary:
Total DFT energy (no corrections) in eV per atom: -4.851
Symmetry: P-3m1 (164)

---

Record 3
Here is crystalline LaPm4Al at its relaxed geometry from the Alexandria database. Energies are from GGA-PBE.

POSCAR file:
```
LaPm4Al
1.0
3.662 0.000 0.000
0.000 3.662 0.000
0.000 0.000 14.297
La Pm Al
1 4 1
direct
0.000 0.000 0.000
0.000 0.000 0.367
0.000 0.000 0.633
0.500 0.500 0.184
0.500 0.500 0.816
0.500 0.500 0.500
```

Summary:
Symmetry: P4/mmm (123)
Polymorph energy (0 for the lowest one) in eV/atom: 0.000

---

Record 4
Here is crystalline Th2BiI at its relaxed geometry from the Alexandria database. Energies are from GGA-PBE.

POSCAR file:
```
Th2BiI
1.0
0.000 3.916 3.916
3.916 0.000 3.916
3.916 3.916 0.000
Th Bi I
2 1 1
direct
0.250 0.250 0.250
0.750 0.750 0.750
0.000 0.000 0.000
0.500 0.500 0.500
```

Summary:
Raw formation energy in kJ per mole of atoms: -54
Symmetry: Fm-3m (225)
Polymorph energy (0 for the lowest one) in eV/atom: 0.000

---

Record 5
Here is crystalline LiGa2Ag2Au5 at its relaxed geometry from the Alexandria database. Energies are from GGA-PBE.

POSCAR file:
```
LiGa2Ag2Au5
1.0
10.039 0.000 0.000
0.000 10.039 0.000
0.000 0.000 3.562
Li Ga Ag Au
2 4 4 10
direct
0.000 0.000 0.000
0.500 0.500 0.000
0.142 0.358 0.000
0.358 0.858 0.000
0.642 0.142 0.000
0.858 0.642 0.000
0.174 0.674 0.000
0.326 0.174 0.000
0.674 0.826 0.000
0.826 0.326 0.000
0.000 0.500 0.500
0.021 0.200 0.500
0.200 0.979 0.500
0.300 0.479 0.500
0.479 0.700 0.500
0.500 0.000 0.500
0.521 0.300 0.500
0.700 0.521 0.500
0.800 0.021 0.500
0.979 0.800 0.500
```

Summary:
Total DFT energy (no corrections) in eV per atom: -3.159
Symmetry: P4/mbm (127)

---

Record 6
Here is crystalline NdSmGa2Ir2 at its relaxed geometry from the Alexandria database. Energies are from GGA-PBE.

POSCAR file:
```
NdSmGa2Ir2
1.0
4.390 0.000 0.000
-2.195 3.802 0.000
0.000 0.000 7.601
Nd Sm Ga Ir
1 1 2 2
direct
0.000 0.000 0.000
0.000 0.000 0.500
0.333 0.667 0.256
0.667 0.333 0.744
0.333 0.667 0.745
0.667 0.333 0.255
```

Summary:
Total DFT energy (no corrections) in eV per atom: -6.287
Symmetry: P-3m1 (164)

---

Across the entries above, calculated density takes the values 11.329 4.695 6.459 11.063 12.462 10.715 Mg/m³, respectively.
Across the entries above, calculated volume takes the values 100.2 27.2 191.7 120.1 359.0 126.8 Å³/cell, respectively.
Across the entries above, density of states at the Fermi level takes the values 1.41 2.11 8.45 2.24 4.63 3.66 states/eV per cell, respectively.